Entry 1:
Crystalline NiRu3 at its relaxed geometry. Source: Alexandria, functional GGA-PBEsol.

D(E_F)   5.42 states/eV/cell
E_form   167 meV per atom
E_tot   -36.0 eV per cell

a b c (Å): 4.5797 4.5797 4.5797
angles (deg): 132.80 132.80 68.97
Last column: nearest neighbours and their distance in Å.
Fractional coordinates of all 4 atoms:
Ni1 0.0000 0.0000 0.0000  12 Ru 2.59-2.63
Ru1 0.2500 0.7500 0.5000  8 Ru 2.59-2.63, 4 Ni 2.63
Ru2 0.5000 0.5000 0.0000  4 Ni 2.59, 8 Ru 2.63
Ru3 0.7500 0.2500 0.5000  8 Ru 2.59-2.63, 4 Ni 2.63

***

Entry 2:
Crystalline YFe2Br at its relaxed geometry. Source: Alexandria, functional GGA-PBEsol.

Uncorrected formation energy   0.273 eV per atom
D(E_F)   3.51 states/eV/cell
E above lowest polymorph   128 meV per atom
E_tot   -25.5 eV per cell

a b c (Å): 3.7885 3.7885 4.8665
angles (deg): 90.00 90.00 90.00
Last column: nearest neighbours and their distance in Å.
Fractional coordinates of all 4 atoms:
Y1 0.0000 0.0000 0.0000  4 Br 2.68
Fe1 0.0000 0.5000 0.5000  4 Fe 2.68
Fe2 0.5000 0.0000 0.5000  4 Fe 2.68
Br1 0.5000 0.5000 0.0000  4 Y 2.68

***

Entry 3:
Crystalline InTeRu2 at its relaxed geometry. Source: Alexandria, functional GGA-PBEsol.

Uncorrected formation energy   0.688 eV per atom
D(E_F)   5.32 states/eV/cell
E above lowest polymorph   462 meV per atom
E_tot   -24.1 eV per cell

a b c (Å): 4.6225 4.6225 4.6225
angles (deg): 60.00 60.00 60.00
Last column: nearest neighbours and their distance in Å.
Fractional coordinates of all 4 atoms:
In1 0.0000 0.0000 0.0000  4 Te 2.83, 4 Ru 2.83
Te1 0.7500 0.7500 0.7500  4 In 2.83, 4 Ru 2.83
Ru1 0.2500 0.2500 0.2500  4 Ru 2.83, 4 In 2.83
Ru2 0.5000 0.5000 0.5000  4 Te 2.83, 4 Ru 2.83

***

Entry 4:
Crystalline Al3CoW at its relaxed geometry. Source: Alexandria, functional GGA-PBEsol.

D(E_F)   3.15 states/eV/cell
E_form   1330 meV per atom
E_tot   -27.2 eV per cell

a b c (Å): 4.7545 4.7545 4.7545
angles (deg): 90.00 90.00 90.00
Last column: nearest neighbours and their distance in Å.
Fractional coordinates of all 5 atoms:
Al1 0.0000 0.0000 0.5000  2 W 2.38
Al2 0.0000 0.5000 0.0000  2 W 2.38
Al3 0.5000 0.0000 0.0000  2 W 2.38
Co1 0.5000 0.5000 0.5000  12 Al 3.36
W1 0.0000 0.0000 0.0000  6 Al 2.38

***

Entry 5:
Crystalline Hf2Co at its relaxed geometry. Source: Alexandria, functional GGA-PBEsol.

D(E_F)   20.67 states/eV/cell
E_form   -299 meV per atom
E_tot   -237.1 eV per cell

a b c (Å): 8.3783 8.3783 8.3783
angles (deg): 60.00 60.00 60.00
Last column: nearest neighbours and their distance in Å.
Fractional coordinates of all 24 atoms:
Hf1 0.0000 0.0000 0.0000  6 Co 2.67
Hf2 0.0000 0.0000 0.5000  6 Co 2.67
Hf3 0.0000 0.5000 0.0000  6 Co 2.67
Hf4 0.1872 0.1872 0.5628  2 Co 2.60
Hf5 0.1872 0.5628 0.1872  2 Co 2.60
Hf6 0.1872 0.5628 0.5628  2 Co 2.60
Hf7 0.4372 0.4372 0.8128  2 Co 2.60
Hf8 0.4372 0.8128 0.4372  2 Co 2.60
Hf9 0.4372 0.8128 0.8128  2 Co 2.60
Hf10 0.5000 0.0000 0.0000  6 Co 2.67
Hf11 0.5628 0.1872 0.1872  2 Co 2.60
Hf12 0.5628 0.1872 0.5628  2 Co 2.60
Hf13 0.5628 0.5628 0.1872  2 Co 2.60
Hf14 0.8128 0.4372 0.4372  2 Co 2.60
Hf15 0.8128 0.4372 0.8128  2 Co 2.60
Hf16 0.8128 0.8128 0.4372  2 Co 2.60
Co1 0.1661 0.7780 0.7780  6 Hf 2.60-2.67
Co2 0.2220 0.2220 0.2220  6 Hf 2.60-2.67
Co3 0.2220 0.2220 0.8339  6 Hf 2.60-2.67
Co4 0.2220 0.8339 0.2220  6 Hf 2.60-2.67
Co5 0.7780 0.1661 0.7780  6 Hf 2.60-2.67
Co6 0.7780 0.7780 0.1661  6 Hf 2.60-2.67
Co7 0.7780 0.7780 0.7780  6 Hf 2.60-2.67
Co8 0.8339 0.2220 0.2220  6 Hf 2.60-2.67

***

Entry 6:
Crystalline Ca2AlAsBr at its relaxed geometry. Source: Alexandria, functional GGA-PBEsol.

Uncorrected formation energy   -0.125 eV per atom
D(E_F)   2.76 states/eV/cell
E_tot   -16.0 eV per cell

a b c (Å): 5.3817 5.3817 4.9668
angles (deg): 90.00 90.00 90.00
Last column: nearest neighbours and their distance in Å.
Fractional coordinates of all 5 atoms:
Ca1 0.0000 0.5000 0.0000  2 Br 2.69
Ca2 0.5000 0.0000 0.0000  2 Br 2.69
Al1 0.0000 0.0000 0.5000  2 Br 2.48
As1 0.5000 0.5000 0.5000  8 Ca 3.66, 4 Al 3.81
Br1 0.0000 0.0000 0.0000  2 Al 2.48, 4 Ca 2.69

***

Entry 7:
Crystalline As2PtRhSe at its relaxed geometry. Source: Alexandria, functional GGA-PBEsol.

Uncorrected formation energy   0.982 eV per atom
D(E_F)   4.29 states/eV/cell
E_tot   -24.3 eV per cell

a b c (Å): 4.6959 4.6959 4.9655
angles (deg): 90.00 90.00 90.00
Last column: nearest neighbours and their distance in Å.
Fractional coordinates of all 5 atoms:
As1 0.0000 0.5000 0.0000  2 Pt 2.35
As2 0.5000 0.0000 0.0000  2 Pt 2.35
Pt1 0.0000 0.0000 0.0000  4 As 2.35, 2 Se 2.48
Rh1 0.5000 0.5000 0.5000  4 Se 3.32, 8 As 3.42
Se1 0.0000 0.0000 0.5000  2 Pt 2.48

***

Entry 8:
Crystalline Ta5Mo3 at its relaxed geometry. Source: Alexandria, functional GGA-PBEsol.

D(E_F)   7.03 states/eV/cell
E_form   -114 meV per atom
E above lowest polymorph   18 meV per atom
E_tot   -99.0 eV per cell

a b c (Å): 3.1926 7.2425 7.2425
angles (deg): 52.59 90.00 90.00
Last column: nearest neighbours and their distance in Å.
Fractional coordinates of all 8 atoms:
Ta1 0.0000 0.0000 0.0000  4 Mo 2.78, 4 Ta 2.82
Ta2 0.0000 0.2395 0.2395  4 Mo 2.75, 4 Ta 2.83
Ta3 0.0000 0.4984 0.4984  4 Mo 2.76, 4 Ta 2.85
Ta4 0.5000 0.1129 0.6227  2 Mo 2.78, 6 Ta 2.82-2.85
Ta5 0.5000 0.6227 0.1129  2 Mo 2.78, 6 Ta 2.82-2.85
Mo1 0.0000 0.7418 0.7418  4 Mo 2.73, 4 Ta 2.78
Mo2 0.5000 0.3757 0.8677  2 Mo 2.73, 6 Ta 2.75-2.78
Mo3 0.5000 0.8677 0.3757  2 Mo 2.73, 6 Ta 2.75-2.78

***

Entry 9:
Crystalline TaTc2HgP at its relaxed geometry. Source: Alexandria, functional GGA-PBEsol.

D(E_F)   6.65 states/eV/cell
E_form   2727 meV per atom
E_tot   -27.8 eV per cell

a b c (Å): 4.8510 4.8510 4.9641
angles (deg): 90.00 90.00 90.00
Last column: nearest neighbours and their distance in Å.
Fractional coordinates of all 5 atoms:
Ta1 0.0000 0.0000 0.0000  2 Hg 2.48
Tc1 0.0000 0.5000 0.5000  2 Hg 2.43
Tc2 0.5000 0.0000 0.5000  2 Hg 2.43
Hg1 0.0000 0.0000 0.5000  4 Tc 2.43, 2 Ta 2.48
P1 0.5000 0.5000 0.0000  4 Ta 3.43, 8 Tc 3.47

***

Entry 10:
Crystalline ScMo2Pt at its relaxed geometry. Source: Alexandria, functional GGA-PBEsol.

D(E_F)   2.05 states/eV/cell
E_form   -119 meV per atom
E above lowest polymorph   132 meV per atom
E_tot   -37.6 eV per cell

a b c (Å): 4.8470 4.8470 5.1353
angles (deg): 96.13 96.13 32.64
Last column: nearest neighbours and their distance in Å.
Fractional coordinates of all 4 atoms:
Sc1 0.0000 0.0000 0.0000  3 Pt 2.69-2.75, 2 Sc 2.72, 5 Mo 2.78-2.95
Mo1 0.2291 0.2291 0.6957  3 Mo 2.54-2.72, 1 Sc 2.78
Mo2 0.4681 0.4681 0.4997  3 Mo 2.54-2.72, 2 Pt 2.80
Pt1 0.7443 0.7443 0.1997  3 Sc 2.69-2.75, 2 Pt 2.72, 6 Mo 2.80-2.91

***

Entry 11:
Crystalline MnPRu at its relaxed geometry. Source: Alexandria, functional GGA-PBEsol.

D(E_F)   2.74 states/eV/cell
E_form   -303 meV per atom
E_tot   -26.6 eV per cell

a b c (Å): 4.8619 4.8619 4.8619
angles (deg): 146.85 146.85 47.59
Last column: nearest neighbours and their distance in Å.
Fractional coordinates of all 3 atoms:
Mn1 0.0000 0.0000 0.0000  4 P 2.30
P1 0.6353 0.6353 0.0000  4 Mn 2.30, 4 Ru 2.44
Ru1 0.2991 0.2991 0.0000  4 P 2.44, 5 Mn 2.65-2.66

***

Entry 12:
Crystalline BePPb at its relaxed geometry. Source: Alexandria, functional GGA-PBEsol.

D(E_F)   0.95 states/eV/cell
E_form   -49 meV per atom
E_tot   -13.9 eV per cell

a b c (Å): 3.6285 3.6285 4.9913
angles (deg): 90.00 90.00 120.00
Last column: nearest neighbours and their distance in Å.
Fractional coordinates of all 3 atoms:
Be1 0.0000 0.0000 0.0000  3 P 2.10
P1 0.3333 0.6667 0.0045  3 Be 2.10
Pb1 0.6667 0.3333 0.5034  6 Be 3.25-3.27, 6 P 3.25-3.26, 6 Pb 3.63

***

Entry 13:
Crystalline LaTcS2N at its relaxed geometry. Source: Alexandria, functional GGA-PBEsol.

Uncorrected formation energy   -0.997 eV per atom
D(E_F)   3.08 states/eV/cell
E_tot   -38.9 eV per cell

a b c (Å): 4.7803 4.7803 3.7547
angles (deg): 90.00 90.00 90.00
Last column: nearest neighbours and their distance in Å.
Fractional coordinates of all 5 atoms:
La1 0.0000 0.0000 0.0000  8 S 3.04, 4 N 3.38
Tc1 0.5000 0.5000 0.5000  2 N 1.88
S1 0.0000 0.5000 0.5000  2 Tc 2.39
S2 0.5000 0.0000 0.5000  2 Tc 2.39
N1 0.5000 0.5000 0.0000  2 Tc 1.88

***

Entry 14:
Crystalline ZrMoP2 at its relaxed geometry. Source: Alexandria, functional GGA-PBEsol.

D(E_F)   1.04 states/eV/cell
E_form   -1007 meV per atom
E above lowest polymorph   0 meV per atom
E_tot   -36.5 eV per cell

a b c (Å): 6.2333 6.2333 6.2333
angles (deg): 149.84 148.34 44.29
Last column: nearest neighbours and their distance in Å.
Fractional coordinates of all 4 atoms:
Zr1 0.0000 0.0000 0.0000  6 P 2.58-2.62
Mo1 0.2512 0.7512 0.5000  6 P 2.43-2.52
P1 0.4074 0.4074 0.0000  2 Mo 2.43, 4 Zr 2.58
P2 0.6723 0.1723 0.5000  4 Mo 2.52, 2 Zr 2.62